No. 1
This record from the Alexandria database describes SmInTe2 after structural relaxation. The functional is GGA-PBE.

a = 4.4614 Å, b = 4.4614 Å, c = 24.9324 Å
α = 90.00°, β = 90.00°, γ = 120.00°
Last column: nearest neighbours and their distance in Å.
Space group R3m (No. 160, hexagonal axes)
Symmetry-distinct sites (fractional):
Sm: 0.0000 0.0000 0.0000 [3 per cell]  6 Te 3.16
In: 0.0000 0.0000 0.8313 [3 per cell]  6 Te 3.44-3.51
Te: 0.0000 0.0000 0.4066 [3 per cell]  3 Sm 3.16, 3 In 3.44
Te: 0.0000 0.0000 0.5934 [3 per cell]  3 Sm 3.16, 3 In 3.51

Computed properties:
Formation energy (no corrections) in eV/f.u.: -3.85
Total magnetization in μB per cell: 0.0

***

No. 2
This record from the Alexandria database describes Sm3InTe after structural relaxation. The functional is GGA-PBE.

a = 8.0251 Å, b = 4.6698 Å, c = 16.7073 Å
α = 90.00°, β = 90.00°, γ = 90.00°
Last column: nearest neighbours and their distance in Å.
Space group Pnma (No. 62)
Symmetry-distinct sites (fractional):
Sm: 0.0065 0.2500 0.1138 [4 per cell]  3 Te 3.13-3.18, 1 In 3.36
Sm: 0.1290 0.2500 0.5556 [4 per cell]  3 Te 3.17-3.33, 2 In 3.25
Sm: 0.1960 0.7500 0.2629 [4 per cell]  4 In 3.21-3.30, 1 Te 3.24
In: 0.0772 0.7500 0.6890 [4 per cell]  8 Sm 3.21-3.57
Te: 0.2148 0.2500 0.9520 [4 per cell]  7 Sm 3.13-3.33

Computed properties:
Energy above the lowest structure with this stoichiometry in eV/atom: 0.000
Formation energy (no corrections) in eV/f.u.: -3.59
Total magnetization in μB per cell: 0.0

***

No. 3
This record from the Alexandria database describes Sm4InTe2 after structural relaxation. The functional is GGA-PBE.

a = 9.6005 Å, b = 13.8873 Å, c = 13.9067 Å
α = 90.00°, β = 90.00°, γ = 90.00°
Last column: nearest neighbours and their distance in Å.
Space group Fddd (No. 70, origin choice 2)
Symmetry-distinct sites (fractional):
Sm: 0.0665 0.2803 0.4694 [32 per cell]  3 Te 3.10-3.15, 1 In 3.11
In: 0.1250 0.1250 0.6250 [8 per cell]  4 Sm 3.11
Te: 0.0000 0.0000 0.0000 [16 per cell]  6 Sm 3.10-3.15

Computed properties:
Formation energy (no corrections) in eV/f.u.: -5.90
Total magnetization in μB per cell: 0.0

***

No. 4
This record from the Alexandria database describes Sm8InTe2 after structural relaxation. The functional is GGA-PBE.

a = 8.7696 Å, b = 14.0377 Å, c = 5.9564 Å
α = 90.00°, β = 104.38°, γ = 90.00°
Last column: nearest neighbours and their distance in Å.
Space group C2/m (No. 12)
Symmetry-distinct sites (fractional):
Sm: 0.0000 0.2405 0.0000 [4 per cell]  2 Te 3.13, 1 In 3.38
Sm: 0.1073 0.5000 0.8006 [4 per cell]  2 Te 3.24, 1 In 3.35, 2 Sm 3.38-3.61
Sm: 0.1967 0.1167 0.6319 [8 per cell]  2 Te 3.14-3.18, 2 Sm 3.28-3.42, 1 In 3.51
In: 0.0000 0.0000 0.0000 [2 per cell]  8 Sm 3.35-3.51
Te: 0.0000 0.3081 0.5000 [4 per cell]  8 Sm 3.13-3.24

Computed properties:
Formation energy (no corrections) in eV/f.u.: -4.79
Total magnetization in μB per cell: 0.0

***

No. 5
This record from the Alexandria database describes Sm3InTe after structural relaxation. The functional is GGA-PBE.

a = 8.6325 Å, b = 4.4314 Å, c = 9.2485 Å
α = 90.00°, β = 112.26°, γ = 90.00°
Last column: nearest neighbours and their distance in Å.
Space group Pm (No. 6)
Symmetry-distinct sites (fractional):
Sm: 0.0000 0.0000 0.0000 [1 per cell]  2 Te 3.08, 2 In 3.15
Sm: 0.0048 0.5000 0.3247 [1 per cell]  2 Te 3.16-3.18, 2 In 3.21
Sm: 0.1598 0.0000 0.6893 [1 per cell]  3 In 3.25-3.58, 2 Te 3.26, 1 Sm 3.63
Sm: 0.3789 0.0000 0.3415 [1 per cell]  2 Te 3.17, 1 In 3.33, 1 Sm 3.47
Sm: 0.5501 0.0000 0.0576 [1 per cell]  2 Te 3.04, 3 In 3.16-3.22
Sm: 0.7784 0.5000 0.6490 [1 per cell]  2 In 3.12, 2 Te 3.15-3.32
In: 0.2658 0.5000 0.0171 [1 per cell]  4 Sm 3.15-3.22
In: 0.7877 0.0000 0.4147 [1 per cell]  7 Sm 3.12-3.33
Te: 0.3735 0.5000 0.5846 [1 per cell]  6 Sm 3.17-3.32
Te: 0.7439 0.5000 0.9762 [1 per cell]  6 Sm 3.04-3.16

Computed properties:
Energy above the lowest structure with this stoichiometry in eV/atom: 0.096
Formation energy (no corrections) in eV/f.u.: -3.11
Total magnetization in μB per cell: 0.0

***

No. 6
This record from the Alexandria database describes Sm5In2Te after structural relaxation. The functional is GGA-PBE.

a = 6.1073 Å, b = 12.0455 Å, c = 13.6297 Å
α = 90.00°, β = 90.00°, γ = 90.00°
Last column: nearest neighbours and their distance in Å.
Space group Cmcm (No. 63)
Symmetry-distinct sites (fractional):
Sm: 0.0000 0.0680 0.2500 [4 per cell]  2 In 3.35, 1 Te 3.43, 4 Sm 3.65
Sm: 0.0000 0.1328 0.5330 [8 per cell]  1 Te 3.12, 3 In 3.18-3.42, 1 Sm 3.32
Sm: 0.0000 0.4178 0.6040 [8 per cell]  1 Te 3.14, 2 In 3.25-3.50, 1 Sm 3.46
In: 0.0000 0.3147 0.1364 [8 per cell]  1 In 3.10, 5 Sm 3.18-3.42, 2 Te 3.44
Te: 0.0000 0.2165 0.7500 [4 per cell]  5 Sm 3.12-3.43, 4 In 3.44

Computed properties:
Formation energy (no corrections) in eV/f.u.: -2.33
Total magnetization in μB per cell: 0.0

***

No. 7
This record from the Alexandria database describes Sm4InTe3 after structural relaxation. The functional is GGA-PBE.

a = 6.3020 Å, b = 6.3020 Å, c = 12.5982 Å
α = 90.00°, β = 90.00°, γ = 90.00°
Last column: nearest neighbours and their distance in Å.
Space group I4/mmm (No. 139)
Symmetry-distinct sites (fractional):
Sm: 0.0000 0.0000 0.2473 [4 per cell]  1 In 3.12, 5 Te 3.15-3.18
Sm: 0.0000 0.5000 0.0000 [4 per cell]  4 Te 3.15, 2 In 3.15
In: 0.0000 0.0000 0.0000 [2 per cell]  6 Sm 3.12-3.15
Te: 0.0000 0.0000 0.5000 [2 per cell]  6 Sm 3.15-3.18
Te: 0.0000 0.5000 0.2500 [4 per cell]  6 Sm 3.15

Computed properties:
Energy above the lowest structure with this stoichiometry in eV/atom: 0.000
Formation energy (no corrections) in eV/f.u.: -9.48
Total magnetization in μB per cell: 0.0

***

No. 8
This record from the Alexandria database describes Sm6InTe12 after structural relaxation. The functional is GGA-PBE.

a = 13.6163 Å, b = 13.6163 Å, c = 12.7667 Å
α = 90.00°, β = 90.00°, γ = 120.00°
Last column: nearest neighbours and their distance in Å.
Space group R-3 (No. 148, hexagonal axes)
Symmetry-distinct sites (fractional):
Sm: 0.0427 0.2727 0.1314 [18 per cell]  7 Te 3.13-3.36
In: 0.0000 0.0000 0.5000 [3 per cell]  6 Te 3.04
Te: 0.0314 0.2110 0.8907 [18 per cell]  4 Sm 3.13-3.18
Te: 0.0793 0.2206 0.3817 [18 per cell]  1 In 3.04, 1 Te 3.05, 3 Sm 3.25-3.36

Computed properties:
Formation energy (no corrections) in eV/f.u.: -20.48
Total magnetization in μB per cell: 0.0